# 1
Here is an optimized crystal structure of CdInO2 from the Alexandria database. Energies are from GGA-PBE.

abc: 3.4379 3.4379 19.2852
angles: 90.00 90.00 120.00
Space group R-3m (No. 166, hexagonal axes)
One atom of each set of equivalent atoms:
Cd (0.0000, 0.0000, 0.0000) [3 per cell]
In (0.0000, 0.0000, 0.5000) [3 per cell]
O (0.0000, 0.0000, 0.3950) [6 per cell]

Final energy = -4.1673 eV/atom
Crystal system = trigonal
ΔE_f (raw) = -17.9 kcal/mol of atoms
Calculated density = 6.54 Mg/m³

# 2
Here is an optimized crystal structure of CdIn5O8 from the Alexandria database. Energies are from GGA-PBE.

abc: 9.357 9.357 9.357
angles: 90.00 90.00 90.00
Space group F-43m (No. 216)
One atom of each set of equivalent atoms:
Cd (0.000, 0.000, 0.000) [4 per cell]
In (0.126, 0.126, 0.374) [16 per cell]
In (0.250, 0.250, 0.750) [4 per cell]
O (0.114, 0.114, 0.614) [16 per cell]
O (0.138, 0.138, 0.138) [16 per cell]

Final energy = -5.3376 eV/atom
Crystal system = cubic
ΔE_f (raw) = -33.7 kcal/mol of atoms
Calculated density = 6.60 Mg/m³

# 3
Here is an optimized crystal structure of Cd2InO from the Alexandria database. Energies are from GGA-PBE.

abc: 6.530 6.530 8.772
angles: 90.00 90.00 90.00
Space group I-42d (No. 122)
One atom of each set of equivalent atoms:
Cd (0.163, 0.250, 0.125) [8 per cell]
In (0.000, 0.000, 0.500) [4 per cell]
O (0.000, 0.000, 0.000) [4 per cell]

Final energy = -2.7157 eV/atom
Crystal system = tetragonal
ΔE_f (raw) = -7.7 kcal/mol of atoms
Calculated density = 6.31 Mg/m³

# 4
Here is an optimized crystal structure of CdInO2 from the Alexandria database. Energies are from GGA-PBE.

abc: 5.998 5.998 5.998
angles: 90.00 90.00 90.00
Space group Fm-3m (No. 225)
One atom of each set of equivalent atoms:
Cd (0.000, 0.000, 0.000) [4 per cell]
In (0.000, 0.000, 0.500) [4 per cell]
O (0.250, 0.250, 0.250) [8 per cell]

Final energy = -3.9030 eV/atom
Crystal system = cubic
ΔE_f (raw) = -11.8 kcal/mol of atoms
Calculated density = 7.98 Mg/m³

# 5
Here is an optimized crystal structure of CdInO2 from the Alexandria database. Energies are from GGA-PBE.

abc: 3.6820 3.6820 17.7015
angles: 90.00 90.00 120.00
Space group R3m (No. 160, hexagonal axes)
One atom of each set of equivalent atoms:
Cd (0.0000, 0.0000, 0.0000) [3 per cell]
In (0.0000, 0.0000, 0.5004) [3 per cell]
O (0.0000, 0.0000, 0.1317) [3 per cell]
O (0.0000, 0.0000, 0.6211) [3 per cell]

Final energy = -4.4730 eV/atom
Crystal system = trigonal
ΔE_f (raw) = -24.9 kcal/mol of atoms
Calculated density = 6.21 Mg/m³

# 6
Here is an optimized crystal structure of CdIn2O4 from the Alexandria database. Energies are from GGA-PBE.

abc: 6.382 6.032 6.519
angles: 90.00 119.28 90.00
Space group P2_1/m (No. 11)
One atom of each set of equivalent atoms:
Cd (0.233, 0.250, 0.038) [2 per cell]
In (0.185, 0.750, 0.694) [2 per cell]
In (0.372, 0.750, 0.346) [2 per cell]
O (0.024, 0.750, 0.335) [2 per cell]
O (0.115, 0.750, 0.961) [2 per cell]
O (0.460, 0.534, 0.697) [4 per cell]

Final energy = -4.9082 eV/atom
Crystal system = monoclinic
ΔE_f (raw) = -26.8 kcal/mol of atoms
Calculated density = 6.16 Mg/m³

# 7
Here is an optimized crystal structure of CdIn2O4 from the Alexandria database. Energies are from GGA-PBE.

abc: 9.331 9.331 9.331
angles: 90.00 90.00 90.00
Space group Fd-3m (No. 227, origin choice 2)
One atom of each set of equivalent atoms:
Cd (0.125, 0.125, 0.125) [8 per cell]
In (0.000, 0.000, 0.500) [16 per cell]
O (0.013, 0.013, 0.737) [32 per cell]

Final energy = -5.2006 eV/atom
Crystal system = cubic
ΔE_f (raw) = -33.5 kcal/mol of atoms
Calculated density = 6.64 Mg/m³

# 8
Here is an optimized crystal structure of CdInO3 from the Alexandria database. Energies are from GGA-PBE.

abc: 10.535 10.535 10.535
angles: 90.00 90.00 90.00
Space group Fd-3m (No. 227, origin choice 2)
One atom of each set of equivalent atoms:
Cd (0.000, 0.000, 0.000) [16 per cell]
In (0.000, 0.000, 0.500) [16 per cell]
O (0.110, 0.375, 0.875) [48 per cell]

Final energy = -4.5641 eV/atom
Crystal system = cubic
ΔE_f (raw) = -19.8 kcal/mol of atoms
Calculated density = 6.25 Mg/m³

# 9
Here is an optimized crystal structure of CdIn2O from the Alexandria database. Energies are from GGA-PBE.

abc: 6.949 6.949 6.949
angles: 90.00 90.00 90.00
Space group Fm-3m (No. 225)
One atom of each set of equivalent atoms:
Cd (0.000, 0.000, 0.000) [4 per cell]
In (0.250, 0.250, 0.250) [8 per cell]
O (0.000, 0.000, 0.500) [4 per cell]

Final energy = -2.7938 eV/atom
Crystal system = cubic
ΔE_f (raw) = 1.0 kcal/mol of atoms
Calculated density = 7.09 Mg/m³

# 10
Here is an optimized crystal structure of Cd3In12O5 from the Alexandria database. Energies are from GGA-PBE.

abc: 15.441 15.441 15.441
angles: 90.00 90.00 90.00
Space group Ia-3d (No. 230)
One atom of each set of equivalent atoms:
Cd (0.000, 0.250, 0.125) [24 per cell]
In (0.034, 0.060, 0.650) [96 per cell]
O (0.000, 0.000, 0.000) [16 per cell]
O (0.000, 0.250, 0.375) [24 per cell]

Final energy = -3.3710 eV/atom
Crystal system = cubic
ΔE_f (raw) = -8.1 kcal/mol of atoms
Calculated density = 6.48 Mg/m³

# 11
Here is an optimized crystal structure of Cd4In3O8 from the Alexandria database. Energies are from GGA-PBE.

abc: 9.292 9.438 6.674
angles: 90.00 134.00 90.00
Space group C2/m (No. 12)
One atom of each set of equivalent atoms:
Cd (0.000, 0.000, 0.000) [2 per cell]
Cd (0.000, 0.500, 0.500) [2 per cell]
Cd (0.250, 0.250, 0.000) [4 per cell]
In (0.000, 0.500, 0.000) [2 per cell]
In (0.250, 0.250, 0.500) [4 per cell]
O (0.000, 0.256, 0.000) [4 per cell]
O (0.000, 0.256, 0.500) [4 per cell]
O (0.228, 0.500, 0.980) [4 per cell]
O (0.238, 0.500, 0.478) [4 per cell]

Final energy = -4.5303 eV/atom
Crystal system = monoclinic
ΔE_f (raw) = -25.2 kcal/mol of atoms
Calculated density = 7.27 Mg/m³

# 12
Here is an optimized crystal structure of CdInO2 from the Alexandria database. Energies are from GGA-PBE.

abc: 5.188 5.188 10.281
angles: 90.00 90.00 90.00
Space group I-42d (No. 122)
One atom of each set of equivalent atoms:
Cd (0.000, 0.000, 0.000) [4 per cell]
In (0.000, 0.000, 0.500) [4 per cell]
O (0.230, 0.250, 0.625) [8 per cell]

Final energy = -4.4921 eV/atom
Crystal system = tetragonal
ΔE_f (raw) = -25.4 kcal/mol of atoms
Calculated density = 6.22 Mg/m³